# 1
Here is TePtWN2 after structural relaxation from Alexandria via LeMat-Bulk. Energies are from PBEsol.

a b c (Å): 3.8399 3.8399 5.8167
angles (deg): 90.00 90.00 90.00
Space group P4/mmm (No. 123)
Inequivalent atoms, fractional coordinates:
Te (0.0000, 0.0000, 0.0000)
Pt (0.5000, 0.5000, 0.0000)
W (0.0000, 0.0000, 0.5000)
N (0.0000, 0.5000, 0.5000)

Values from the calculation:
calculated volume	85.8	Å³/f.u.
energy relative to the elements, uncorrected	0.52	eV/atom
density of states at the Fermi level	4.255	states/eV/f.u.



# 2
Here is TaAl2Zn after structural relaxation from Alexandria via LeMat-Bulk. Energies are from PBEsol.

a b c (Å): 3.1954 3.1954 6.0912
angles (deg): 90.00 90.00 90.00
Space group P4mm (No. 99)
Inequivalent atoms, fractional coordinates:
Ta (0.0000, 0.0000, 0.0000)
Al (0.0000, 0.0000, 0.4850)
Al (0.5000, 0.5000, 0.7370)
Zn (0.5000, 0.5000, 0.2709)

Values from the calculation:
calculated volume	62.2	Å³/f.u.
calculated formation energy	0.031	eV per atom
density of states at the Fermi level	1.975	states/eV/f.u.



# 3
Here is SrMnBe2 after structural relaxation from Alexandria via LeMat-Bulk. Energies are from PBEsol.

a b c (Å): 2.9256 2.9256 7.2997
angles (deg): 90.00 90.00 90.00
Space group P4mm (No. 99)
Inequivalent atoms, fractional coordinates:
Sr (0.0000, 0.0000, 0.0000)
Mn (0.5000, 0.5000, 0.6458)
Be (0.0000, 0.0000, 0.4735)
Be (0.5000, 0.5000, 0.3305)

Values from the calculation:
calculated volume	62.5	Å³/f.u.
calculated formation energy	0.633	eV per atom
density of states at the Fermi level	2.153	states/eV/f.u.